No. 1
## NbAlP (PBE)

Data for an optimized crystal structure of NbAlP.

Results
The calculation puts the volume at 198 Å³ per cell. As for the crystal system: tetragonal. The value obtained for the total magnetization is 0.0 μB/cell. For the formation energy, the calculation gives -0.423 eV per atom.

Cell: 3.5323 3.5337 15.8393 Å, 90.00 90.00 90.00°
Sites, in units of the cell vectors:
Nb  0.7500  0.2500  0.1401
Nb  0.2500  0.7500  0.3599
Nb  0.2500  0.7500  0.8599
Nb  0.7500  0.2500  0.6401
P  0.7500  0.2500  0.8107
P  0.2500  0.7500  0.6893
P  0.2500  0.7500  0.1893
P  0.7500  0.2500  0.3107
Al  0.2500  0.2500  0.4999
Al  0.7500  0.7500  0.0001
Al  0.2500  0.2500  0.9999
Al  0.7500  0.7500  0.5001



No. 2
## NbAl3P (PBE)

Data for an optimized crystal structure of NbAl3P.

Results
As for the energy above the most stable polymorph in this dataset: 498 meV/atom. The calculation puts the volume at 125 Å³ per cell. As for the crystal system: cubic. The value obtained for the total magnetization is 0.0 μB/cell. For the formation energy, the calculation gives 1.202 eV per atom.

Cell: 4.9939 4.9939 4.9939 Å, 90.00 90.00 90.00°
Sites, in units of the cell vectors:
Al  0.0000  0.5000  0.0000
Al  0.5000  0.0000  0.0000
Al  0.0000  0.0000  0.5000
P  0.5000  0.5000  0.5000
Nb  0.0000  0.0000  0.0000